[1]
Material: AcMg2Pt2
Method: DFT, PBE
State: optimized geometry

The space group is I4/mmm (No. 139) and the conventional cell measures 4.204, 4.204 and 12.617 Å, with angles of 90.00, 90.00 and 90.00 degrees. The asymmetric unit holds Ac at (0.000, 0.000, 0.000), Mg at (0.000, 0.500, 0.250) and Pt at (0.000, 0.000, 0.388).

The formation energy comes out at -0.936 eV/atom. Its crystal system is tetragonal.

[2]
Material: Ac2Mg3Pt2
Method: DFT, PBE
State: optimized geometry

The space group is C2/m (No. 12) and the conventional cell measures 11.047, 4.366 and 8.027 Å, with angles of 90.00, 114.29 and 90.00 degrees. The asymmetric unit holds Ac at (0.139, 0.000, 0.279), Mg at (0.000, 0.500, 0.500), Mg at (0.143, 0.500, 0.934) and Pt at (0.148, 0.000, 0.711).

The formation energy comes out at -0.743 eV/atom. Its crystal system is monoclinic.

[3]
Material: AcMg9Pt2
Method: DFT, PBE
State: optimized geometry

The space group is I4_1/amd (No. 141, origin choice 2) and the conventional cell measures 11.737, 11.737 and 7.631 Å, with angles of 90.00, 90.00 and 90.00 degrees. The asymmetric unit holds Ac at (0.000, 0.250, 0.375), Mg at (0.000, 0.250, 0.875), Mg at (0.123, 0.051, 0.694) and Pt at (0.000, 0.000, 0.000).

The formation energy comes out at -0.416 eV/atom. Its crystal system is tetragonal.

[4]
Material: AcMgPt2
Method: DFT, PBE
State: optimized geometry

The space group is P4/mmm (No. 123) and the conventional cell measures 4.966, 4.966 and 3.617 Å, with angles of 90.00, 90.00 and 90.00 degrees. The asymmetric unit holds Ac at (0.000, 0.000, 0.000), Mg at (0.500, 0.500, 0.000) and Pt at (0.000, 0.500, 0.500).

The formation energy comes out at -0.787 eV/atom. Its crystal system is tetragonal.

[5]
Material: AcMgPt2
Method: DFT, PBE
State: optimized geometry

The space group is P4/mmm (No. 123) and the conventional cell measures 3.534, 3.534 and 6.909 Å, with angles of 90.00, 90.00 and 90.00 degrees. The asymmetric unit holds Ac at (0.000, 0.000, 0.000), Mg at (0.000, 0.000, 0.500) and Pt at (0.500, 0.500, 0.295).

The formation energy comes out at -0.846 eV/atom. Its crystal system is tetragonal.

[6]
Material: AcMgPtRh
Method: DFT, PBE
State: optimized geometry

The space group is F-43m (No. 216) and the conventional cell measures 7.022, 7.022 and 7.022 Å, with angles of 90.00, 90.00 and 90.00 degrees. The asymmetric unit holds Ac at (0.000, 0.000, 0.000), Mg at (0.000, 0.000, 0.500), Pt at (0.250, 0.250, 0.750) and Rh at (0.250, 0.250, 0.250).

The formation energy comes out at -0.586 eV/atom. Its crystal system is cubic.

[7]
Material: Ac2MgSb4Pt3
Method: DFT, PBE
State: optimized geometry

The space group is P-4m2 (No. 115) and the conventional cell measures 4.727, 4.727 and 11.086 Å, with angles of 90.00, 90.00 and 90.00 degrees. The asymmetric unit holds Ac at (0.000, 0.500, 0.247), Mg at (0.000, 0.000, 0.500), Sb at (0.000, 0.000, 0.000), Sb at (0.000, 0.500, 0.638), Sb at (0.500, 0.500, 0.000), Pt at (0.000, 0.500, 0.879) and Pt at (0.500, 0.500, 0.500).

The calculation puts the formation energy from raw total energies at -19.278 kcal/mol of atoms. Its crystal system is tetragonal.

[8]
Material: AcMgSbPt
Method: DFT, PBE
State: optimized geometry

The space group is F-43m (No. 216) and the conventional cell measures 7.457, 7.457 and 7.457 Å, with angles of 90.00, 90.00 and 90.00 degrees. The asymmetric unit holds Ac at (0.000, 0.000, 0.000), Mg at (0.000, 0.000, 0.500), Sb at (0.250, 0.250, 0.750) and Pt at (0.250, 0.250, 0.250).

The calculation puts the formation energy from raw total energies at -14.917 kcal/mol of atoms. Its crystal system is cubic.

[9]
Material: AcMgScPt2
Method: DFT, PBE
State: optimized geometry

The space group is I-4m2 (No. 119) and the conventional cell measures 4.292, 4.292 and 12.485 Å, with angles of 90.00, 90.00 and 90.00 degrees. The asymmetric unit holds Ac at (0.000, 0.000, 0.000), Mg at (0.000, 0.500, 0.250), Sc at (0.000, 0.500, 0.750) and Pt at (0.000, 0.000, 0.387).

The formation energy comes out at -1.016 eV/atom. Its crystal system is tetragonal.

[10]
Material: AcMgSiPt2
Method: DFT, PBE
State: optimized geometry

The space group is I-4m2 (No. 119) and the conventional cell measures 4.300, 4.300 and 11.254 Å, with angles of 90.00, 90.00 and 90.00 degrees. The asymmetric unit holds Ac at (0.000, 0.000, 0.000), Mg at (0.000, 0.500, 0.250), Si at (0.000, 0.500, 0.750) and Pt at (0.000, 0.000, 0.375).

The calculation puts the formation energy from raw total energies at -21.492 kcal/mol of atoms. Its crystal system is tetragonal.

[11]
Material: AcMg2SiPt2
Method: DFT, PBE
State: optimized geometry

The space group is I4/mmm (No. 139) and the conventional cell measures 5.078, 5.078 and 11.140 Å, with angles of 90.00, 90.00 and 90.00 degrees. The asymmetric unit holds Ac at (0.000, 0.000, 0.000), Mg at (0.000, 0.500, 0.250), Si at (0.000, 0.000, 0.500) and Pt at (0.000, 0.000, 0.298).

The calculation puts the formation energy from raw total energies at -13.851 kcal/mol of atoms. Its crystal system is tetragonal.

[12]
Material: Ac2MgSi4Pt3
Method: DFT, PBE
State: optimized geometry

The space group is P-4m2 (No. 115) and the conventional cell measures 4.371, 4.371 and 10.426 Å, with angles of 90.00, 90.00 and 90.00 degrees. The asymmetric unit holds Ac at (0.000, 0.500, 0.243), Mg at (0.000, 0.000, 0.500), Si at (0.000, 0.000, 0.000), Si at (0.000, 0.500, 0.644), Si at (0.500, 0.500, 0.000), Pt at (0.000, 0.500, 0.887) and Pt at (0.500, 0.500, 0.500).

The calculation puts the formation energy from raw total energies at -21.631 kcal/mol of atoms. Its crystal system is tetragonal.

[13]
Material: Ac3MgSi2Pt9
Method: DFT, PBE
State: optimized geometry

The space group is P-3m1 (No. 164) and the conventional cell measures 5.9538, 5.9538 and 10.6449 Å, with angles of 90.00, 90.00 and 120.00 degrees. The asymmetric unit holds Ac at (0.0000, 0.0000, 0.0000), Ac at (0.3333, 0.6667, 0.6146), Mg at (0.0000, 0.0000, 0.5000), Si at (0.3333, 0.6667, 0.1597), Pt at (0.0000, 0.5000, 0.0000) and Pt at (0.1588, 0.3176, 0.3040).

The calculation puts the formation energy from raw total energies at -19.217 kcal/mol of atoms. Its crystal system is trigonal.

[14]
Material: AcMgSi2Pt2
Method: DFT, PBE
State: optimized geometry

The space group is P-3m1 (No. 164) and the conventional cell measures 4.3149, 4.3149 and 7.3470 Å, with angles of 90.00, 90.00 and 120.00 degrees. The asymmetric unit holds Ac at (0.0000, 0.0000, 0.0000), Mg at (0.0000, 0.0000, 0.5000), Si at (0.3333, 0.6667, 0.6949) and Pt at (0.3333, 0.6667, 0.3214).

The calculation puts the formation energy from raw total energies at -21.439 kcal/mol of atoms. Its crystal system is trigonal.

[15]
Material: AcSmMgPt
Method: DFT, PBE
State: optimized geometry

The space group is F-43m (No. 216) and the conventional cell measures 7.606, 7.606 and 7.606 Å, with angles of 90.00, 90.00 and 90.00 degrees. The asymmetric unit holds Ac at (0.000, 0.000, 0.000), Sm at (0.000, 0.000, 0.500), Mg at (0.250, 0.250, 0.250) and Pt at (0.250, 0.250, 0.750).

The formation energy comes out at -0.444 eV/atom. Its crystal system is cubic.

[16]
Material: Ac2MgSn3Pt4
Method: DFT, PBE
State: optimized geometry

The space group is P-4m2 (No. 115) and the conventional cell measures 4.676, 4.676 and 10.786 Å, with angles of 90.00, 90.00 and 90.00 degrees. The asymmetric unit holds Ac at (0.000, 0.500, 0.243), Mg at (0.000, 0.000, 0.500), Sn at (0.000, 0.500, 0.874), Sn at (0.500, 0.500, 0.500), Pt at (0.000, 0.000, 0.000), Pt at (0.000, 0.500, 0.629) and Pt at (0.500, 0.500, 0.000).

The formation energy comes out at -0.917 eV/atom. Its crystal system is tetragonal.

[17]
Material: Ac2MgSn4Pt3
Method: DFT, PBE
State: optimized geometry

The space group is P-4m2 (No. 115) and the conventional cell measures 4.596, 4.596 and 11.586 Å, with angles of 90.00, 90.00 and 90.00 degrees. The asymmetric unit holds Ac at (0.000, 0.500, 0.248), Mg at (0.000, 0.000, 0.500), Sn at (0.000, 0.000, 0.000), Sn at (0.000, 0.500, 0.640), Sn at (0.500, 0.500, 0.000), Pt at (0.000, 0.500, 0.872) and Pt at (0.500, 0.500, 0.500).

The formation energy comes out at -0.831 eV/atom. Its crystal system is tetragonal.

[18]
Material: AcMgSnPt
Method: DFT, PBE
State: optimized geometry

The space group is F-43m (No. 216) and the conventional cell measures 7.420, 7.420 and 7.420 Å, with angles of 90.00, 90.00 and 90.00 degrees. The asymmetric unit holds Ac at (0.000, 0.000, 0.000), Mg at (0.000, 0.000, 0.500), Sn at (0.250, 0.250, 0.250) and Pt at (0.250, 0.250, 0.750).

The formation energy comes out at -0.535 eV/atom. Its crystal system is cubic.

[19]
Material: SrAcMgPt
Method: DFT, PBE
State: optimized geometry

The space group is F-43m (No. 216) and the conventional cell measures 7.765, 7.765 and 7.765 Å, with angles of 90.00, 90.00 and 90.00 degrees. The asymmetric unit holds Sr at (0.000, 0.000, 0.000), Ac at (0.000, 0.000, 0.500), Mg at (0.250, 0.250, 0.250) and Pt at (0.250, 0.250, 0.750).

The formation energy comes out at -0.397 eV/atom. Its crystal system is cubic.

[20]
Material: Ac2MgTiPt6
Method: DFT, PBE
State: optimized geometry

The space group is C2/m (No. 12) and the conventional cell measures 12.445, 5.595 and 8.647 Å, with angles of 90.00, 132.35 and 90.00 degrees. The asymmetric unit holds Ac at (0.244, 0.000, 0.196), Mg at (0.000, 0.500, 0.000), Ti at (0.000, 0.000, 0.500), Pt at (0.006, 0.256, 0.266) and Pt at (0.250, 0.000, 0.601).

The formation energy comes out at -0.872 eV/atom. Its crystal system is monoclinic.

Total moment list, top to bottom, in μB per cell: 0.00, 0.00, 0.00, 0.00, 0.00, 0.00, 0.00, 0.00, 0.00, 0.00, 0.00, 0.00, 0.00, 0.00, 0.00, 0.00, 0.00, 0.00, 0.00, 0.00